[1]
The following is a GGA-PBE calculation of a relaxed CeY2Ho3As6 crystal, from the Alexandria database.

Calculated values
Final energy = -6.5645 eV per atom

a b c (Å): 9.219 9.219 8.254
angles (deg): 102.94 102.94 25.89
Positions (direct):
Ce1 0.000 0.000 0.000
Y1 0.332 0.332 0.664
Y2 0.668 0.668 0.336
Ho1 0.000 0.000 0.500
Ho2 0.333 0.333 0.168
Ho3 0.667 0.667 0.832
As1 0.166 0.166 0.584
As2 0.167 0.167 0.082
As3 0.500 0.500 0.253
As4 0.500 0.500 0.747
As5 0.833 0.833 0.918
As6 0.834 0.834 0.416

[2]
The following is a GGA-PBE calculation of a relaxed Ce3Y2HoAs6 crystal, from the Alexandria database.

Calculated values
Final energy = -6.7551 eV per atom

a b c (Å): 7.223 7.223 7.206
angles (deg): 99.62 99.62 120.00
Positions (direct):
Ce1 0.000 0.000 0.000
Ce2 0.333 0.667 0.000
Ce3 0.667 0.333 0.000
Y1 0.167 0.833 0.500
Y2 0.833 0.167 0.500
Ho1 0.500 0.500 0.500
As1 0.086 0.418 0.254
As2 0.250 0.250 0.746
As3 0.418 0.086 0.254
As4 0.582 0.914 0.746
As5 0.750 0.750 0.254
As6 0.914 0.582 0.746

[3]
The following is a GGA-PBE calculation of a relaxed CeY2HoAs4 crystal, from the Alexandria database.

Calculated values
Final energy = -6.7728 eV per atom

a b c (Å): 7.167 4.143 7.168
angles (deg): 90.00 109.42 90.00
Positions (direct):
Ce1 0.000 0.000 0.000
Y1 0.000 0.500 0.500
Y2 0.500 0.000 0.500
Ho1 0.500 0.500 0.000
As1 0.252 0.000 0.751
As2 0.253 0.500 0.251
As3 0.747 0.500 0.749
As4 0.748 0.000 0.249

[4]
The following is a GGA-PBE calculation of a relaxed CeYHo2As4 crystal, from the Alexandria database.

Calculated values
Final energy = -6.5296 eV per atom

a b c (Å): 7.156 4.136 7.157
angles (deg): 90.00 109.42 90.00
Positions (direct):
Ce1 0.000 0.000 0.000
Y1 0.000 0.500 0.500
Ho1 0.500 0.000 0.500
Ho2 0.500 0.500 0.000
As1 0.252 0.000 0.750
As2 0.254 0.500 0.253
As3 0.746 0.500 0.747
As4 0.748 0.000 0.250

[5]
The following is a GGA-PBE calculation of a relaxed Ce3YHo2As6 crystal, from the Alexandria database.

Calculated values
Final energy = -6.5923 eV per atom

a b c (Å): 7.215 7.215 7.199
angles (deg): 99.62 99.62 120.00
Positions (direct):
Ce1 0.000 0.000 0.000
Ce2 0.334 0.666 0.000
Ce3 0.666 0.334 0.000
Y1 0.500 0.500 0.500
Ho1 0.167 0.833 0.500
Ho2 0.833 0.167 0.500
As1 0.084 0.418 0.255
As2 0.247 0.247 0.745
As3 0.418 0.084 0.255
As4 0.582 0.916 0.745
As5 0.753 0.753 0.255
As6 0.916 0.582 0.745

[6]
The following is a GGA-PBE calculation of a relaxed Ce2YHoAs4 crystal, from the Alexandria database.

Calculated values
Final energy = -6.6739 eV per atom

a b c (Å): 7.202 4.167 7.219
angles (deg): 90.00 109.51 90.00
Positions (direct):
Ce1 0.000 0.000 0.000
Ce2 0.000 0.500 0.500
Y1 0.500 0.000 0.500
Ho1 0.500 0.500 0.000
As1 0.254 0.500 0.251
As2 0.255 0.000 0.753
As3 0.745 0.000 0.247
As4 0.746 0.500 0.749

[7]
The following is a GGA-PBE calculation of a relaxed Ce2Y3HoAs6 crystal, from the Alexandria database.

Calculated values
Final energy = -6.8216 eV per atom

a b c (Å): 7.191 7.191 7.184
angles (deg): 99.60 99.60 120.00
Positions (direct):
Ce1 0.167 0.833 0.000
Ce2 0.833 0.167 0.000
Y1 0.000 0.000 0.500
Y2 0.333 0.667 0.500
Y3 0.667 0.333 0.500
Ho1 0.500 0.500 0.000
As1 0.085 0.416 0.749
As2 0.253 0.253 0.252
As3 0.416 0.085 0.749
As4 0.584 0.915 0.251
As5 0.747 0.747 0.748
As6 0.915 0.584 0.251

[8]
The following is a GGA-PBE calculation of a relaxed CeHo2ZrAs4 crystal, from the Alexandria database.

Calculated values
Final energy = -6.6657 eV per atom

a b c (Å): 7.033 4.064 7.037
angles (deg): 90.00 109.29 90.00
Positions (direct):
Ce1 0.000 0.000 0.000
Ho1 0.500 0.000 0.500
Ho2 0.500 0.500 0.000
Zr1 0.000 0.500 0.500
As1 0.243 0.000 0.739
As2 0.249 0.500 0.259
As3 0.751 0.500 0.741
As4 0.757 0.000 0.261

[9]
The following is a GGA-PBE calculation of a relaxed CeHoZr2As4 crystal, from the Alexandria database.

Calculated values
Final energy = -7.0863 eV per atom

a b c (Å): 6.909 3.992 6.963
angles (deg): 90.00 109.34 90.00
Positions (direct):
Ce1 0.000 0.000 0.000
Ho1 0.500 0.500 0.000
Zr1 0.000 0.500 0.500
Zr2 0.500 0.000 0.500
As1 0.248 0.000 0.736
As2 0.258 0.500 0.266
As3 0.742 0.500 0.734
As4 0.752 0.000 0.264

[10]
The following is a GGA-PBE calculation of a relaxed Ce3HoZr2As6 crystal, from the Alexandria database.

Calculated values
Final energy = -6.9693 eV per atom

a b c (Å): 7.043 7.043 7.054
angles (deg): 99.59 99.59 120.00
Positions (direct):
Ce1 0.000 0.000 0.000
Ce2 0.336 0.664 0.000
Ce3 0.664 0.336 0.000
Ho1 0.500 0.500 0.500
Zr1 0.167 0.833 0.500
Zr2 0.833 0.167 0.500
As1 0.081 0.421 0.264
As2 0.237 0.237 0.733
As3 0.421 0.081 0.264
As4 0.579 0.919 0.736
As5 0.763 0.763 0.267
As6 0.919 0.579 0.736

[11]
The following is a GGA-PBE calculation of a relaxed Ce2HoZrAs4 crystal, from the Alexandria database.

Calculated values
Final energy = -6.8313 eV per atom

a b c (Å): 7.086 4.088 7.088
angles (deg): 90.00 109.39 90.00
Positions (direct):
Ce1 0.000 0.000 0.000
Ce2 0.000 0.500 0.500
Ho1 0.500 0.000 0.500
Zr1 0.500 0.500 0.000
As1 0.262 0.500 0.247
As2 0.265 0.000 0.761
As3 0.735 0.000 0.239
As4 0.738 0.500 0.753

[12]
The following is a GGA-PBE calculation of a relaxed Ce4As3I crystal, from the Alexandria database.

Calculated values
Final energy = -6.1357 eV per atom

a b c (Å): 4.166 4.166 15.239
angles (deg): 90.00 90.00 120.00
Positions (direct):
Ce1 0.333 0.667 0.341
Ce2 0.333 0.667 0.885
Ce3 0.667 0.333 0.115
Ce4 0.667 0.333 0.659
As1 0.000 0.000 0.000
As2 0.000 0.000 0.235
As3 0.000 0.000 0.765
I1 0.000 0.000 0.500